[1]
Material: ZrHg2Au2
Method: DFT, PBE
State: relaxed

Output
E above lowest polymorph	0	meV/atom
formation energy from the elements	0.014	eV/atom

Unit cell a=7.361 b=7.361 c=4.023 alpha=90.00 beta=90.00 gamma=90.00
Space group P4/mbm (No. 127)
Asymmetric unit:
Zr 0.000 0.000 0.000
Hg 0.173 0.327 0.500
Au 0.133 0.633 0.000

[2]
Material: Ce2ThSe3
Method: DFT, PBE
State: relaxed

Output
E_form (uncorrected)	-1.732	eV per atom

Unit cell a=4.195 b=5.931 c=12.581 alpha=90.00 beta=90.00 gamma=90.00
Space group Immm (No. 71)
Asymmetric unit:
Ce 0.000 0.000 0.166
Th 0.000 0.000 0.500
Se 0.000 0.500 0.168
Se 0.000 0.500 0.500

[3]
Material: NaCdIn2Hg
Method: DFT, PBE
State: relaxed

Output
formation energy from the elements	-0.074	eV/atom

Unit cell a=5.942 b=5.232 c=8.610 alpha=90.00 beta=105.47 gamma=90.00
Space group P2_1/m (No. 11)
Asymmetric unit:
Na 0.050 0.250 0.379
Cd 0.401 0.750 0.416
In 0.175 0.750 0.034
In 0.468 0.250 0.186
Hg 0.195 0.250 0.763

[4]
Material: Tc3BiC
Method: DFT, PBE
State: relaxed

Output
E above lowest polymorph	3219	meV/atom
formation energy from the elements	3.632	eV/atom

Unit cell a=5.153 b=5.153 c=5.153 alpha=90.00 beta=90.00 gamma=90.00
Space group Pm-3m (No. 221)
Asymmetric unit:
Tc 0.000 0.000 0.500
Bi 0.000 0.000 0.000
C 0.500 0.500 0.500

[5]
Material: CuGe2Au8
Method: DFT, PBE
State: relaxed

Output
formation energy from the elements	0.042	eV/atom

Unit cell a=8.273 b=10.743 c=5.010 alpha=90.00 beta=116.06 gamma=90.00
Space group C2/m (No. 12)
Asymmetric unit:
Cu 0.000 0.000 0.000
Ge 0.000 0.144 0.500
Au 0.000 0.273 0.000
Au 0.191 0.366 0.614
Au 0.214 0.500 0.123

[6]
Material: Ho2ZnS
Method: DFT, PBE
State: relaxed

Output
E above lowest polymorph	514	meV/atom
E_form (uncorrected)	-0.648	eV per atom

Unit cell a=3.6674 b=3.6674 c=27.6833 alpha=90.00 beta=90.00 gamma=120.00
Space group R-3m (No. 166, hexagonal axes)
Asymmetric unit:
Ho 0.0000 0.0000 0.1076
Zn 0.0000 0.0000 0.0000
S 0.0000 0.0000 0.5000

[7]
Material: Pr12Y5Tm2
Method: DFT, PBE
State: relaxed

Output
E above lowest polymorph	23	meV/atom
formation energy from the elements	0.156	eV/atom

Unit cell a=19.459 b=7.602 c=10.111 alpha=90.00 beta=117.51 gamma=90.00
Space group C2/m (No. 12)
Asymmetric unit:
Pr 0.002 0.000 0.207
Pr 0.009 0.500 0.329
Pr 0.161 0.249 0.847
Pr 0.165 0.238 0.496
Y 0.000 0.000 0.500
Y 0.174 0.000 0.170
Y 0.178 0.500 0.191
Tm 0.000 0.300 0.000

[8]
Material: TcMo
Method: DFT, PBE
State: relaxed

Output
E above lowest polymorph	135	meV/atom
formation energy from the elements	0.211	eV/atom

Unit cell a=2.7770 b=2.7770 c=9.1852 alpha=90.00 beta=90.00 gamma=120.00
Space group P-3m1 (No. 164)
Asymmetric unit:
Tc 0.3333 0.6667 0.3831
Mo 0.3333 0.6667 0.8681

[9]
Material: LiTa2Rh
Method: DFT, PBE
State: relaxed

Output
formation energy from the elements	-0.023	eV/atom

Unit cell a=3.570 b=4.382 c=8.521 alpha=90.00 beta=90.00 gamma=90.00
Space group Cmm2 (No. 35)
Asymmetric unit:
Li 0.000 0.000 0.000
Ta 0.000 0.000 0.553
Ta 0.000 0.500 0.289
Rh 0.000 0.500 0.781

[10]
Material: BaZnCd2Au
Method: DFT, PBE
State: relaxed

Output
E above lowest polymorph	135	meV/atom
formation energy from the elements	-0.213	eV/atom

Unit cell a=5.360 b=5.360 c=5.054 alpha=90.00 beta=90.00 gamma=90.00
Space group P4/mmm (No. 123)
Asymmetric unit:
Ba 0.000 0.000 0.000
Zn 0.500 0.500 0.000
Cd 0.000 0.500 0.500
Au 0.500 0.500 0.500

[11]
Material: Sc2ZnO
Method: DFT, PBE
State: relaxed

Output
E above lowest polymorph	0	meV/atom
E_form (uncorrected)	-1.417	eV per atom

Unit cell a=6.256 b=6.256 c=7.392 alpha=90.00 beta=90.00 gamma=90.00
Space group I-42d (No. 122)
Asymmetric unit:
Sc 0.155 0.750 0.125
Zn 0.000 0.000 0.500
O 0.000 0.000 0.000

[12]
Material: CaSm2PdO6
Method: DFT, PBE
State: relaxed

Output
E_form (uncorrected)	-2.438	eV per atom

Unit cell a=5.580 b=5.929 c=9.808 alpha=90.00 beta=124.31 gamma=90.00
Space group P2_1/c (No. 14)
Asymmetric unit:
Ca 0.000 0.000 0.000
Sm 0.270 0.066 0.747
Pd 0.500 0.000 0.500
O 0.138 0.060 0.268
O 0.264 0.683 0.059
O 0.399 0.212 0.074

| no. | electronic total energy (eV/atom) | total magnetization (μB per cell) |
| --- | --- | --- |
| 1 | -3.13 | 0.00 |
| 2 | -6.69 | 2.42 |
| 3 | -1.68 | 0.00 |
| 4 | -5.21 | 7.00 |
| 5 | -3.55 | 0.00 |
| 6 | -4.29 | 0.00 |
| 7 | -5.03 | 0.00 |
| 8 | -10.39 | 0.00 |
| 9 | -8.27 | 0.00 |
| 10 | -1.87 | 0.00 |
| 11 | -6.14 | 0.00 |
| 12 | -7.08 | 0.00 |